Record 1
The following is a DFT calculation (PBE) of a relaxed structure of LaSbP. Values from VASP.

Energy relative to the elements, uncorrected   -2.32 eV/f.u.
Mass density   5.4 g/cm3
Total moment   0.00 Bohr magnetons per cell
Fermi-level density of states   1.76 states/eV per cell

Quantum ESPRESSO input file:
```
&SYSTEM
  ibrav = 0, nat = 3, ntyp = 3
/
ATOMIC_SPECIES
La 138.91 La.upf
Sb 121.76 Sb.upf
P 30.97 P.upf
CELL_PARAMETERS angstrom
-2.061 2.061 5.317
2.061 -2.061 5.317
2.061 2.061 -5.317
ATOMIC_POSITIONS crystal
La 0.000 0.000 0.000
Sb 0.322 0.322 0.000
P 0.559 0.559 0.000
```


Record 2
The following is a DFT calculation (PBE) of a relaxed structure of LaSbP. Values from VASP.

Energy relative to the elements, uncorrected   -2.06 eV/f.u.
Mass density   6.2 g/cm3
Total moment   0.00 Bohr magnetons per cell
Fermi-level density of states   1.05 states/eV per cell

Quantum ESPRESSO input file:
```
&SYSTEM
  ibrav = 0, nat = 3, ntyp = 3
/
ATOMIC_SPECIES
La 138.91 La.upf
Sb 121.76 Sb.upf
P 30.97 P.upf
CELL_PARAMETERS angstrom
4.678 0.000 0.000
-2.339 4.052 0.000
0.000 0.000 4.140
ATOMIC_POSITIONS crystal
La 0.000 0.000 0.000
Sb 0.333 0.667 0.500
P 0.667 0.333 0.500
```